1.
VASP calculation (PBE) on a geometry-optimized SrLi3Si structure.

It has space group Pm-3m (No. 221), with a = 5.327 Å, b = 5.327 Å, c = 5.327 Å, α = 90.00°, β = 90.00° and γ = 90.00°. The inequivalent atoms are Sr at (0.000, 0.000, 0.000), Li at (0.000, 0.000, 0.500) and Si at (0.500, 0.500, 0.500).

The calculated volume is 30.24 Å³ per atom.

2.
VASP calculation (PBE) on a geometry-optimized SrLi3Si structure.

It has space group I-4m2 (No. 119), with a = 4.764 Å, b = 4.764 Å, c = 24.620 Å, α = 90.00°, β = 90.00° and γ = 90.00°. The inequivalent atoms are Sr at (0.000, 0.000, 0.000), Sr at (0.000, 0.500, 0.250), Li at (0.000, 0.263, 0.126), Li at (0.000, 0.500, 0.680) and Si at (0.000, 0.000, 0.348).

The calculated volume is 27.94 Å³ per atom.

What should be chosen as the least stable of them? Choose 1.

1.
VASP calculation (PBE) on a geometry-optimized SrLiSi3 structure.

It has space group Cmcm (No. 63), with a = 4.592 Å, b = 23.453 Å, c = 3.955 Å, α = 90.00°, β = 90.00° and γ = 90.00°. The inequivalent atoms are Sr at (0.000, 0.077, 0.250), Li at (0.000, 0.204, 0.750), Si at (0.000, 0.317, 0.750), Si at (0.000, 0.372, 0.250) and Si at (0.000, 0.473, 0.250).

The calculated volume is 21.30 Å³ per atom.

2.
VASP calculation (PBE) on a geometry-optimized SrLiSi3 structure.

It has space group Pm-3m (No. 221), with a = 4.653 Å, b = 4.653 Å, c = 4.653 Å, α = 90.00°, β = 90.00° and γ = 90.00°. The inequivalent atoms are Sr at (0.000, 0.000, 0.000), Li at (0.500, 0.500, 0.500) and Si at (0.000, 0.500, 0.500).

The calculated volume is 20.14 Å³ per atom.

What should be chosen as the least stable of them? Choose 2.

1.
VASP calculation (PBE) on a geometry-optimized LiTaTi2Si structure.

It has space group P4/mmm (No. 123), with a = 4.819 Å, b = 4.819 Å, c = 4.938 Å, α = 90.00°, β = 90.00° and γ = 90.00°. The inequivalent atoms are Li at (0.000, 0.000, 0.000), Ta at (0.500, 0.500, 0.500), Ti at (0.000, 0.500, 0.500) and Si at (0.500, 0.500, 0.000).

The calculated volume is 22.94 Å³ per atom.

2.
VASP calculation (PBE) on a geometry-optimized LiTaTi2Si structure.

It has space group P4/mmm (No. 123), with a = 4.662 Å, b = 4.662 Å, c = 4.748 Å, α = 90.00°, β = 90.00° and γ = 90.00°. The inequivalent atoms are Li at (0.000, 0.000, 0.000), Ta at (0.500, 0.500, 0.000), Ti at (0.000, 0.500, 0.500) and Si at (0.500, 0.500, 0.500).

The calculated volume is 20.64 Å³ per atom.

What should be chosen as the least stable of them? Choose 1.

1.
VASP calculation (PBE) on a geometry-optimized LiTbSi2 structure.

It has space group Pnma (No. 62), with a = 6.652 Å, b = 4.122 Å, c = 10.799 Å, α = 90.00°, β = 90.00° and γ = 90.00°. The inequivalent atoms are Li at (0.138, 0.250, 0.055), Tb at (0.148, 0.250, 0.345), Si at (0.029, 0.250, 0.834) and Si at (0.176, 0.250, 0.634).

The calculated volume is 18.50 Å³ per atom.

2.
VASP calculation (PBE) on a geometry-optimized LiTbSi2 structure.

It has space group P4/mmm (No. 123), with a = 4.145 Å, b = 4.145 Å, c = 4.178 Å, α = 90.00°, β = 90.00° and γ = 90.00°. The inequivalent atoms are Li at (0.000, 0.000, 0.000), Tb at (0.500, 0.500, 0.000) and Si at (0.000, 0.500, 0.500).

The calculated volume is 17.95 Å³ per atom.

What should be chosen as the least stable of them? Choose 2.

1.
VASP calculation (PBE) on a geometry-optimized LiSi2Te2 structure.

It has space group I4/mmm (No. 139), with a = 3.509 Å, b = 3.509 Å, c = 17.953 Å, α = 90.00°, β = 90.00° and γ = 90.00°. The inequivalent atoms are Li at (0.000, 0.000, 0.000), Si at (0.000, 0.500, 0.250) and Te at (0.000, 0.000, 0.394).

The calculated volume is 22.10 Å³ per atom.

2.
VASP calculation (PBE) on a geometry-optimized LiSi2Te2 structure.

It has space group P4/mbm (No. 127), with a = 7.801 Å, b = 7.801 Å, c = 3.903 Å, α = 90.00°, β = 90.00° and γ = 90.00°. The inequivalent atoms are Li at (0.000, 0.000, 0.000), Si at (0.112, 0.388, 0.500) and Te at (0.195, 0.695, 0.000).

The calculated volume is 23.76 Å³ per atom.

What should be chosen as the least stable of them? Choose 2.

1.
VASP calculation (PBE) on a geometry-optimized LiSiTe3 structure.

It has space group Pm-3m (No. 221), with a = 5.057 Å, b = 5.057 Å, c = 5.057 Å, α = 90.00°, β = 90.00° and γ = 90.00°. The inequivalent atoms are Li at (0.000, 0.000, 0.000), Si at (0.500, 0.500, 0.500) and Te at (0.000, 0.000, 0.500).

The calculated volume is 25.86 Å³ per atom.

2.
VASP calculation (PBE) on a geometry-optimized LiSiTe3 structure.

It has space group P2_1/m (No. 11), with a = 7.657 Å, b = 3.910 Å, c = 9.446 Å, α = 90.00°, β = 111.51° and γ = 90.00°. The inequivalent atoms are Li at (0.027, 0.250, 0.184), Si at (0.465, 0.250, 0.801), Te at (0.226, 0.750, 0.642), Te at (0.283, 0.250, 0.999) and Te at (0.296, 0.750, 0.354).

The calculated volume is 26.31 Å³ per atom.

3.
VASP calculation (PBE) on a geometry-optimized LiSiTe3 structure.

It has space group Pm-3m (No. 221), with a = 5.337 Å, b = 5.337 Å, c = 5.337 Å, α = 90.00°, β = 90.00° and γ = 90.00°. The inequivalent atoms are Li at (0.000, 0.000, 0.000), Si at (0.500, 0.500, 0.500) and Te at (0.000, 0.500, 0.500).

The calculated volume is 30.40 Å³ per atom.

4.
VASP calculation (PBE) on a geometry-optimized LiSiTe3 structure.

It has space group P6_322 (No. 182), with a = 6.6236 Å, b = 6.6236 Å, c = 6.8613 Å, α = 90.00°, β = 90.00° and γ = 120.00°. The inequivalent atoms are Li at (0.3333, 0.6667, 0.2500), Si at (0.0000, 0.0000, 0.2500) and Te at (0.0000, 0.3235, 0.5000).

The calculated volume is 26.07 Å³ per atom.

What should be chosen as the least stable of them? Choose 1.

1.
VASP calculation (PBE) on a geometry-optimized Li2Tl2Si structure.

It has space group P4/mbm (No. 127), with a = 6.822 Å, b = 6.822 Å, c = 4.460 Å, α = 90.00°, β = 90.00° and γ = 90.00°. The inequivalent atoms are Li at (0.148, 0.352, 0.000), Tl at (0.171, 0.671, 0.500) and Si at (0.000, 0.000, 0.000).

The calculated volume is 20.76 Å³ per atom.

2.
VASP calculation (PBE) on a geometry-optimized Li2Tl2Si structure.

It has space group P4/mbm (No. 127), with a = 7.864 Å, b = 7.864 Å, c = 3.378 Å, α = 90.00°, β = 90.00° and γ = 90.00°. The inequivalent atoms are Li at (0.152, 0.348, 0.000), Tl at (0.149, 0.649, 0.500) and Si at (0.000, 0.000, 0.500).

The calculated volume is 20.89 Å³ per atom.

What should be chosen as the least stable of them? Choose 2.

1.
VASP calculation (PBE) on a geometry-optimized LiVSi2 structure.

It has space group P4/mmm (No. 123), with a = 4.455 Å, b = 4.455 Å, c = 2.640 Å, α = 90.00°, β = 90.00° and γ = 90.00°. The inequivalent atoms are Li at (0.000, 0.000, 0.000), V at (0.500, 0.500, 0.000) and Si at (0.000, 0.500, 0.500).

The calculated volume is 13.10 Å³ per atom.

2.
VASP calculation (PBE) on a geometry-optimized LiVSi2 structure.

It has space group Fm-3m (No. 225), with a = 6.012 Å, b = 6.012 Å, c = 6.012 Å, α = 90.00°, β = 90.00° and γ = 90.00°. The inequivalent atoms are Li at (0.000, 0.000, 0.000), V at (0.000, 0.000, 0.500) and Si at (0.250, 0.250, 0.250).

The calculated volume is 13.58 Å³ per atom.

3.
VASP calculation (PBE) on a geometry-optimized LiVSi2 structure.

It has space group P4/mmm (No. 123), with a = 3.116 Å, b = 3.116 Å, c = 5.404 Å, α = 90.00°, β = 90.00° and γ = 90.00°. The inequivalent atoms are Li at (0.000, 0.000, 0.000), V at (0.000, 0.000, 0.500) and Si at (0.500, 0.500, 0.261).

The calculated volume is 13.11 Å³ per atom.

What should be chosen as the least stable of them? Choose 2.

1.
VASP calculation (PBE) on a geometry-optimized LiVSi2 structure.

It has space group P4/mmm (No. 123), with a = 2.597 Å, b = 2.597 Å, c = 8.030 Å, α = 90.00°, β = 90.00° and γ = 90.00°. The inequivalent atoms are Li at (0.000, 0.000, 0.000), V at (0.000, 0.000, 0.500) and Si at (0.500, 0.500, 0.263).

The calculated volume is 13.54 Å³ per atom.

2.
VASP calculation (PBE) on a geometry-optimized LiVSi2 structure.

It has space group I-42d (No. 122), with a = 6.571 Å, b = 6.571 Å, c = 5.242 Å, α = 90.00°, β = 90.00° and γ = 90.00°. The inequivalent atoms are Li at (0.000, 0.000, 0.000), V at (0.000, 0.000, 0.500) and Si at (0.239, 0.250, 0.125).

The calculated volume is 14.15 Å³ per atom.

3.
VASP calculation (PBE) on a geometry-optimized LiVSi2 structure.

It has space group R-3m (No. 166, hexagonal axes), with a = 2.7678 Å, b = 2.7678 Å, c = 25.3001 Å, α = 90.00°, β = 90.00° and γ = 120.00°. The inequivalent atoms are Li at (0.0000, 0.0000, 0.0000), V at (0.0000, 0.0000, 0.5000) and Si at (0.0000, 0.0000, 0.2467).

The calculated volume is 13.99 Å³ per atom.

What should be chosen as the least stable of them? Choose 2.

1.
VASP calculation (PBE) on a geometry-optimized LiV3Si structure.

It has space group Pm-3m (No. 221), with a = 4.060 Å, b = 4.060 Å, c = 4.060 Å, α = 90.00°, β = 90.00° and γ = 90.00°. The inequivalent atoms are Li at (0.000, 0.000, 0.000), V at (0.000, 0.000, 0.500) and Si at (0.500, 0.500, 0.500).

The calculated volume is 13.39 Å³ per atom.

2.
VASP calculation (PBE) on a geometry-optimized LiV3Si structure.

It has space group Pm-3m (No. 221), with a = 4.464 Å, b = 4.464 Å, c = 4.464 Å, α = 90.00°, β = 90.00° and γ = 90.00°. The inequivalent atoms are Li at (0.000, 0.000, 0.000), V at (0.000, 0.500, 0.500) and Si at (0.500, 0.500, 0.500).

The calculated volume is 17.79 Å³ per atom.

What should be chosen as the least stable of them? Choose 1.